Record 1
As2PtAu after structural relaxation. Source: the Alexandria database, functional GGA-PBE.

abc: 3.064 3.064 7.874
angles: 90.00 90.00 90.00
Positions (direct):
As: 0.000 0.000 0.000
As: 0.500 0.500 0.324
Pt: 0.500 0.500 0.820
Au: 0.000 0.000 0.557

Results
calculated total energy = -4.58 eV per atom
relative energy among the computed polymorphs = 0.584 eV per formula unit
energy of formation = 0.079 eV/atom
SG = P4mm
total magnetic moment = 0.00 μB per atom

Record 2
HI after structural relaxation. Source: the Alexandria database, functional GGA-PBE.

abc: 8.179 8.179 8.179
angles: 94.64 94.64 146.97
Positions (direct):
H: 0.113 0.354 0.467
H: 0.354 0.887 0.240
H: 0.646 0.113 0.760
H: 0.887 0.646 0.533
I: 0.009 0.249 0.258
I: 0.249 0.991 0.239
I: 0.751 0.009 0.761
I: 0.991 0.751 0.742

Results
calculated total energy = -2.43 eV per atom
SG = I4/m
total magnetic moment = 0.00 μB per atom

Record 3
Hf2SbOsS after structural relaxation. Source: the Alexandria database, functional GGA-PBE.

abc: 4.781 4.781 4.394
angles: 90.00 90.00 90.00
Positions (direct):
Hf: 0.000 0.500 0.000
Hf: 0.500 0.000 0.000
Sb: 0.000 0.000 0.500
Os: 0.500 0.500 0.500
S: 0.500 0.500 0.000

Results
calculated total energy = -7.88 eV per atom
formation energy (no corrections) = -0.001 eV per atom
SG = P4/mmm
total magnetic moment = 0.00 μB per atom

Record 4
BaYIn4O8 after structural relaxation. Source: the Alexandria database, functional GGA-PBE.

abc: 6.894 6.894 6.894
angles: 59.24 59.24 59.24
Positions (direct):
Ba: 0.000 0.000 0.000
Y: 0.373 0.373 0.373
In: 0.373 0.373 0.879
In: 0.373 0.879 0.373
In: 0.751 0.751 0.751
In: 0.879 0.373 0.373
O: 0.143 0.143 0.561
O: 0.143 0.561 0.143
O: 0.147 0.147 0.147
O: 0.155 0.618 0.618
O: 0.561 0.143 0.143
O: 0.609 0.609 0.609
O: 0.618 0.155 0.618
O: 0.618 0.618 0.155

Results
calculated total energy = -6.17 eV per atom
formation energy (no corrections) = -1.951 eV per atom
SG = R3m
total magnetic moment = 0.00 μB per atom

Record 5
MgV after structural relaxation. Source: the Alexandria database, functional GGA-PBE.

abc: 4.874 4.874 5.582
angles: 90.00 90.00 120.00
Positions (direct):
Mg: 0.333 0.667 0.250
Mg: 0.667 0.333 0.750
V: 0.333 0.667 0.750
V: 0.667 0.333 0.250

Results
calculated total energy = -3.76 eV per atom
energy of formation = 1.599 eV/atom
SG = P6_3/mmc
total magnetic moment = 1.90 μB per atom

Record 6
TbPmHgAu after structural relaxation. Source: the Alexandria database, functional GGA-PBE.

abc: 5.252 5.252 5.252
angles: 60.00 60.00 60.00
Positions (direct):
Tb: 0.000 0.000 0.000
Pm: 0.500 0.500 0.500
Hg: 0.250 0.250 0.250
Au: 0.750 0.750 0.750

Results
calculated total energy = -3.87 eV per atom
relative energy among the computed polymorphs = 0.063 eV per formula unit
energy of formation = -0.631 eV/atom
SG = F-43m
total magnetic moment = 0.00 μB per atom

Record 7
LaEr3Mn after structural relaxation. Source: the Alexandria database, functional GGA-PBE.

abc: 5.313 5.313 5.313
angles: 90.00 90.00 90.00
Positions (direct):
La: 0.000 0.000 0.000
Er: 0.000 0.500 0.500
Er: 0.500 0.000 0.500
Er: 0.500 0.500 0.000
Mn: 0.500 0.500 0.500

Results
calculated total energy = -5.37 eV per atom
energy of formation = 0.187 eV/atom
SG = Pm-3m
total magnetic moment = 0.16 μB per atom

Record 8
LaZn2Mo after structural relaxation. Source: the Alexandria database, functional GGA-PBE.

abc: 4.195 4.209 4.486
angles: 90.00 90.00 90.00
Positions (direct):
La: 0.000 0.000 0.000
Zn: 0.000 0.500 0.500
Zn: 0.500 0.000 0.500
Mo: 0.500 0.500 0.000

Results
calculated total energy = -4.25 eV per atom
relative energy among the computed polymorphs = 0.897 eV per formula unit
energy of formation = 0.326 eV/atom
SG = Pmmm
total magnetic moment = 0.18 μB per atom

Record 9
NdSiN after structural relaxation. Source: the Alexandria database, functional GGA-PBE.

abc: 6.916 6.916 4.011
angles: 90.00 90.00 148.37
Positions (direct):
Nd: 0.149 0.851 0.750
Nd: 0.851 0.149 0.250
Si: 0.462 0.538 0.750
Si: 0.538 0.462 0.250
N: 0.331 0.669 0.750
N: 0.669 0.331 0.250

Results
calculated total energy = -7.09 eV per atom
formation energy (no corrections) = -0.914 eV per atom
SG = Cmcm
total magnetic moment = 0.00 μB per atom

Record 10
TbSi2SbO8 after structural relaxation. Source: the Alexandria database, functional GGA-PBE.

abc: 5.686 5.686 5.686
angles: 106.26 106.26 116.11
Positions (direct):
Tb: 0.000 0.000 0.000
Si: 0.500 0.500 0.000
Si: 0.750 0.250 0.500
Sb: 0.250 0.750 0.500
O: 0.328 0.139 0.811
O: 0.328 0.517 0.189
O: 0.386 0.059 0.327
O: 0.483 0.672 0.811
O: 0.732 0.059 0.673
O: 0.861 0.672 0.189
O: 0.941 0.268 0.327
O: 0.941 0.614 0.673

Results
calculated total energy = -7.35 eV per atom
formation energy (no corrections) = -2.409 eV per atom
SG = I-4m2
total magnetic moment = 0.00 μB per atom

Record 11
LiCeRh4 after structural relaxation. Source: the Alexandria database, functional GGA-PBE.

abc: 5.254 5.254 5.254
angles: 60.00 60.00 60.00
Positions (direct):
Li: 0.000 0.000 0.000
Ce: 0.250 0.250 0.250
Rh: 0.123 0.626 0.626
Rh: 0.626 0.123 0.626
Rh: 0.626 0.626 0.123
Rh: 0.626 0.626 0.626

Results
calculated total energy = -6.66 eV per atom
energy of formation = -0.449 eV/atom
SG = F-43m
total magnetic moment = 0.00 μB per atom

Record 12
PrYCoCu after structural relaxation. Source: the Alexandria database, functional GGA-PBE.

abc: 4.931 4.931 4.931
angles: 60.00 60.00 60.00
Positions (direct):
Pr: 0.000 0.000 0.000
Y: 0.500 0.500 0.500
Co: 0.250 0.250 0.250
Cu: 0.750 0.750 0.750

Results
calculated total energy = -5.69 eV per atom
relative energy among the computed polymorphs = 0.231 eV per formula unit
energy of formation = -0.083 eV/atom
SG = F-43m
total magnetic moment = 0.11 μB per atom

> Number 1 is which compound?

As2PtAu